Run A
Entry from Alexandria: a relaxed structure of ScTa2Ni2 (GGA-PBE).

a b c (Å): 7.715 7.715 2.718
angles (deg): 90.00 90.00 90.00
Positions (direct):
Sc (0.000, 0.000, 0.000)
Sc (0.500, 0.500, 0.000)
Ta (0.127, 0.373, 0.000)
Ta (0.373, 0.873, 0.000)
Ta (0.627, 0.127, 0.000)
Ta (0.873, 0.627, 0.000)
Ni (0.171, 0.671, 0.500)
Ni (0.329, 0.171, 0.500)
Ni (0.671, 0.829, 0.500)
Ni (0.829, 0.329, 0.500)

Computed properties:
- space group = P4/mbm (127)
- magnetic moment (μB/cell) = 0.85


Run B
Entry from Alexandria: a relaxed structure of ScTa2Ni2 (GGA-PBE).

a b c (Å): 4.422 4.422 9.449
angles (deg): 90.00 90.00 90.00
Positions (direct):
Sc (0.000, 0.000, 0.000)
Sc (0.500, 0.500, 0.500)
Ta (0.000, 0.000, 0.354)
Ta (0.000, 0.000, 0.646)
Ta (0.500, 0.500, 0.146)
Ta (0.500, 0.500, 0.854)
Ni (0.000, 0.500, 0.250)
Ni (0.000, 0.500, 0.750)
Ni (0.500, 0.000, 0.250)
Ni (0.500, 0.000, 0.750)

Computed properties:
- space group = I4/mmm (139)
- magnetic moment (μB/cell) = 0.00


Run C
Entry from Alexandria: a relaxed structure of ScTa2Ni2 (GGA-PBE).

a b c (Å): 7.143 7.143 3.134
angles (deg): 90.00 90.00 90.00
Positions (direct):
Sc (0.000, 0.000, 0.000)
Sc (0.500, 0.500, 0.000)
Ta (0.171, 0.329, 0.500)
Ta (0.329, 0.829, 0.500)
Ta (0.671, 0.171, 0.500)
Ta (0.829, 0.671, 0.500)
Ni (0.122, 0.622, 0.000)
Ni (0.378, 0.122, 0.000)
Ni (0.622, 0.878, 0.000)
Ni (0.878, 0.378, 0.000)

Computed properties:
- space group = P4/mbm (127)
- magnetic moment (μB/cell) = 0.00


What is the stability order? It is run C, run A, run B, from most stable to least stable.


Run A
Entry from Alexandria: a relaxed structure of Sc3TaNi (GGA-PBE).

a b c (Å): 5.038 5.038 5.038
angles (deg): 90.00 90.00 90.00
Positions (direct):
Sc (0.000, 0.000, 0.500)
Sc (0.000, 0.500, 0.000)
Sc (0.500, 0.000, 0.000)
Ta (0.000, 0.000, 0.000)
Ni (0.500, 0.500, 0.500)

Computed properties:
- space group = Pm-3m (221)
- magnetic moment (μB/cell) = 0.00


Run B
Entry from Alexandria: a relaxed structure of Sc3TaNi (GGA-PBE).

a b c (Å): 4.778 4.778 4.778
angles (deg): 90.00 90.00 90.00
Positions (direct):
Sc (0.000, 0.000, 0.500)
Sc (0.000, 0.500, 0.000)
Sc (0.500, 0.000, 0.000)
Ta (0.500, 0.500, 0.500)
Ni (0.000, 0.000, 0.000)

Computed properties:
- space group = Pm-3m (221)
- magnetic moment (μB/cell) = 0.67


What is the stability order? It is run B, run A, from most stable to least stable.


Run A
Entry from Alexandria: a relaxed structure of ScTaNi4 (GGA-PBE).

a b c (Å): 2.795 4.169 7.410
angles (deg): 90.00 90.00 90.00
Positions (direct):
Sc (0.000, 0.000, 0.000)
Ta (0.500, 0.500, 0.500)
Ni (0.000, 0.500, 0.210)
Ni (0.000, 0.500, 0.790)
Ni (0.500, 0.000, 0.310)
Ni (0.500, 0.000, 0.690)

Computed properties:
- space group = Pmmm (47)
- magnetic moment (μB/cell) = 0.00


Run B
Entry from Alexandria: a relaxed structure of ScTaNi4 (GGA-PBE).

a b c (Å): 4.836 4.836 4.836
angles (deg): 60.00 60.00 60.00
Positions (direct):
Sc (0.000, 0.000, 0.000)
Ta (0.750, 0.750, 0.750)
Ni (0.375, 0.375, 0.375)
Ni (0.375, 0.375, 0.875)
Ni (0.375, 0.875, 0.375)
Ni (0.875, 0.375, 0.375)

Computed properties:
- space group = F-43m (216)
- magnetic moment (μB/cell) = 0.00


What is the stability order? It is run B, run A, from most stable to least stable.


Run A
Entry from Alexandria: a relaxed structure of TbSc2Ni (GGA-PBE).

a b c (Å): 3.615 3.615 25.213
angles (deg): 90.00 90.00 120.00
Positions (direct):
Tb (0.000, 0.000, 0.000)
Tb (0.333, 0.667, 0.667)
Tb (0.667, 0.333, 0.333)
Sc (0.000, 0.000, 0.227)
Sc (0.000, 0.000, 0.444)
Sc (0.333, 0.667, 0.111)
Sc (0.333, 0.667, 0.894)
Sc (0.667, 0.333, 0.560)
Sc (0.667, 0.333, 0.778)
Ni (0.000, 0.000, 0.836)
Ni (0.333, 0.667, 0.503)
Ni (0.667, 0.333, 0.169)

Computed properties:
- space group = R3m (160)
- magnetic moment (μB/cell) = 0.00


Run B
Entry from Alexandria: a relaxed structure of TbSc2Ni (GGA-PBE).

a b c (Å): 6.527 9.165 6.010
angles (deg): 90.00 90.00 90.00
Positions (direct):
Tb (0.021, 0.250, 0.130)
Tb (0.479, 0.750, 0.630)
Tb (0.521, 0.250, 0.370)
Tb (0.979, 0.750, 0.870)
Sc (0.174, 0.064, 0.679)
Sc (0.174, 0.436, 0.679)
Sc (0.326, 0.564, 0.179)
Sc (0.326, 0.936, 0.179)
Sc (0.674, 0.064, 0.821)
Sc (0.674, 0.436, 0.821)
Sc (0.826, 0.564, 0.321)
Sc (0.826, 0.936, 0.321)
Ni (0.107, 0.750, 0.427)
Ni (0.393, 0.250, 0.927)
Ni (0.607, 0.750, 0.073)
Ni (0.893, 0.250, 0.573)

Computed properties:
- space group = Pnma (62)
- magnetic moment (μB/cell) = 0.00


What is the stability order? It is run B, run A, from most stable to least stable.


Run A
Entry from Alexandria: a relaxed structure of TbSc2Ni (GGA-PBE).

a b c (Å): 4.530 11.122 7.085
angles (deg): 90.00 90.00 90.00
Positions (direct):
Tb (0.000, 0.048, 0.250)
Tb (0.000, 0.952, 0.750)
Tb (0.500, 0.452, 0.750)
Tb (0.500, 0.548, 0.250)
Sc (0.000, 0.343, 0.038)
Sc (0.000, 0.343, 0.462)
Sc (0.000, 0.657, 0.538)
Sc (0.000, 0.657, 0.962)
Sc (0.500, 0.157, 0.538)
Sc (0.500, 0.157, 0.962)
Sc (0.500, 0.843, 0.038)
Sc (0.500, 0.843, 0.462)
Ni (0.000, 0.199, 0.750)
Ni (0.000, 0.801, 0.250)
Ni (0.500, 0.301, 0.250)
Ni (0.500, 0.699, 0.750)

Computed properties:
- space group = Cmcm (63)
- magnetic moment (μB/cell) = 0.00


Run B
Entry from Alexandria: a relaxed structure of TbSc2Ni (GGA-PBE).

a b c (Å): 3.250 3.250 8.276
angles (deg): 90.00 90.00 90.00
Positions (direct):
Tb (0.000, 0.000, 0.000)
Sc (0.500, 0.500, 0.317)
Sc (0.500, 0.500, 0.683)
Ni (0.000, 0.000, 0.500)

Computed properties:
- space group = P4/mmm (123)
- magnetic moment (μB/cell) = 0.00


Run C
Entry from Alexandria: a relaxed structure of TbSc2Ni (GGA-PBE).

a b c (Å): 3.489 3.489 26.915
angles (deg): 90.00 90.00 120.00
Positions (direct):
Tb (0.000, 0.000, 0.000)
Tb (0.333, 0.667, 0.667)
Tb (0.667, 0.333, 0.333)
Sc (0.000, 0.000, 0.226)
Sc (0.000, 0.000, 0.774)
Sc (0.333, 0.667, 0.441)
Sc (0.333, 0.667, 0.892)
Sc (0.667, 0.333, 0.108)
Sc (0.667, 0.333, 0.559)
Ni (0.000, 0.000, 0.500)
Ni (0.333, 0.667, 0.167)
Ni (0.667, 0.333, 0.833)

Computed properties:
- space group = R-3m (166)
- magnetic moment (μB/cell) = 0.00


What is the stability order? It is run A, run B, run C, from most stable to least stable.


Run A
Entry from Alexandria: a relaxed structure of TbSc3Ni8 (GGA-PBE).

a b c (Å): 4.948 4.948 8.061
angles (deg): 90.00 90.00 120.00
Positions (direct):
Tb (0.000, 0.000, 0.000)
Sc (0.000, 0.000, 0.379)
Sc (0.667, 0.333, 0.493)
Sc (0.667, 0.333, 0.859)
Ni (0.166, 0.333, 0.680)
Ni (0.166, 0.834, 0.680)
Ni (0.333, 0.667, 0.433)
Ni (0.333, 0.667, 0.933)
Ni (0.502, 0.003, 0.188)
Ni (0.502, 0.498, 0.188)
Ni (0.667, 0.834, 0.680)
Ni (0.997, 0.498, 0.188)

Computed properties:
- space group = P3m1 (156)
- magnetic moment (μB/cell) = 0.00


Run B
Entry from Alexandria: a relaxed structure of TbSc3Ni8 (GGA-PBE).

a b c (Å): 8.574 8.574 8.574
angles (deg): 33.43 33.43 33.43
Positions (direct):
Tb (0.000, 0.000, 0.000)
Sc (0.127, 0.127, 0.127)
Sc (0.498, 0.498, 0.498)
Sc (0.621, 0.621, 0.621)
Ni (0.061, 0.061, 0.558)
Ni (0.061, 0.558, 0.061)
Ni (0.064, 0.563, 0.563)
Ni (0.311, 0.311, 0.311)
Ni (0.558, 0.061, 0.061)
Ni (0.563, 0.064, 0.563)
Ni (0.563, 0.563, 0.064)
Ni (0.812, 0.812, 0.812)

Computed properties:
- space group = R3m (160)
- magnetic moment (μB/cell) = 0.00


What is the stability order? It is run B, run A, from most stable to least stable.